Record 1
The following is a DFT calculation (PBE) of a relaxed structure of NbTl2BrCl6.

Cell: 7.0213 7.1213 9.0032 Å, 67.30 88.86 66.28°
Closest atoms and distances in Å follow each position.
Fractional coordinates of all 10 atoms:
Nb (0.0000, 0.0000, 0.0000)  6 Cl 2.35-2.43
Tl (0.3325, 0.4453, 0.4853)  1 Br 2.94, 1 Cl 3.27
Tl (0.6348, 0.7169, 0.8385)  1 Br 2.96
Br (0.4897, 0.9952, 0.4845)  2 Tl 2.94-2.96
Cl (0.0503, 0.3106, 0.7980)  1 Nb 2.41
Cl (0.1075, 0.8047, 0.8264)  1 Nb 2.39
Cl (0.3525, 0.8340, 0.1312)  1 Nb 2.37
Cl (0.6398, 0.1756, 0.8598)  1 Nb 2.43
Cl (0.8845, 0.1990, 0.1644)  1 Nb 2.35
Cl (0.9363, 0.6971, 0.1886)  1 Nb 2.38

Properties
Magnetization: 0.1 μB/f.u.
Total DFT energy (no corrections): -38.6 eV/f.u.
Uncorrected formation energy: -1.11 eV/atom

---

Record 2
The following is a DFT calculation (PBE) of a relaxed structure of Zr2ZnAs.

Cell: 7.4354 7.4354 7.4354 Å, 28.83 28.83 28.83°
Closest atoms and distances in Å follow each position.
Fractional coordinates of all 4 atoms:
Zr (0.0000, 0.0000, 0.0000)  3 As 2.65, 3 Zn 2.90
Zr (0.1846, 0.1846, 0.1846)  3 As 2.68, 3 Zn 2.91
Zn (0.4251, 0.4251, 0.4251)  6 Zr 2.90-2.91
As (0.5936, 0.5936, 0.5936)  6 Zr 2.65-2.68

Properties
Magnetization: 0.0 μB/f.u.
Calculated formation energy: -0.482 eV per atom
Total DFT energy (no corrections): -24.9 eV/f.u.